# 1
Material: RbSr3Si
Method: DFT, PBE-GGA
State: relaxed

Cell lengths 6.317, 6.317, 6.317 Å; angles 90.00, 90.00, 90.00 degrees
Element x y z (fractional)
Si 0.000 0.000 0.000
Rb 0.500 0.500 0.500
Sr 0.000 0.500 0.000
Sr 0.500 0.000 0.000
Sr 0.000 0.000 0.500

## Properties
The value obtained for the energy above the most stable polymorph in this dataset is 0.0000 eV per atom. The calculation puts the density of states at the Fermi level at 6.46 states/eV per cell. Its space group is Pm-3m.

# 2
Material: CdAg2Br
Method: DFT, PBE-GGA
State: relaxed

Cell lengths 5.051, 5.051, 3.419 Å; angles 90.00, 90.00, 90.00 degrees
Element x y z (fractional)
Ag 0.000 0.000 0.000
Br 0.500 0.000 0.500
Cd 0.000 0.500 0.500
Ag 0.500 0.500 0.000

## Properties
The value obtained for the energy above the most stable polymorph in this dataset is 0.1793 eV per atom. The calculation puts the density of states at the Fermi level at 1.00 states/eV per cell. Its space group is P4/mmm.

| no. | magnetic moment (Bohr magnetons per cell) |
| --- | --- |
| 1 | 0.00 |
| 2 | 0.00 |